A relaxed structure of NdY2PdPt2Pb3, computed with PBE.

Cell: 4.0255 13.5020 7.7709 Å, 90.00 90.00 90.00°
Space group Amm2 (No. 38)
One atom of each set of equivalent atoms:
1 Nd 0.0000 0.0000 0.0000 x2
2 Y 0.0000 0.2041 0.3880 x4
3 Pd 0.0000 0.0000 0.5874 x2
4 Pt 0.5000 0.1698 0.0931 x4
5 Pb 0.5000 0.0000 0.3331 x2
6 Pb 0.5000 0.1300 0.7201 x4

Summary:
magnetic moment = 0.00 Bohr magnetons per cell
E = -106.9 eV/cell